Entry 1:
Computed, not measured: a geometry-optimized NaClF2 structure at the PBE level of DFT.

## Properties
Energy relative to the elements, uncorrected, eV/atom: -1.6215
Space group: No. 166
DFT total energy, eV/cell: -13.39

Lattice parameters (Å, degrees): 6.1930 6.1930 6.1930 35.26 35.26 35.26
Element x y z (fractional)
Na 0.5000 0.5000 0.5000
Cl 0.0000 0.0000 0.0000
F 0.1092 0.1092 0.1092
F 0.8908 0.8908 0.8908

***

Entry 2:
Computed, not measured: a geometry-optimized BaMn2Pb structure at the PBE level of DFT.

## Properties
Calculated formation energy, meV/atom: 405
Space group: No. 25
DFT total energy, eV/cell: -22.35

Lattice parameters (Å, degrees): 3.5948 3.5749 8.8125 66.07 90.00 90.00
Element x y z (fractional)
Ba 0.5000 0.7265 0.7733
Pb 0.0000 0.5706 0.4292
Mn 0.5000 0.2777 0.2224
Mn 0.0000 0.9252 0.0750

***

Entry 3:
Computed, not measured: a geometry-optimized PrPaCd17 structure at the PBE level of DFT.

## Properties
Calculated formation energy, meV/atom: -52
Space group: No. 160
DFT total energy, eV/cell: -30.82

Lattice parameters (Å, degrees): 7.6752 7.6752 7.6752 82.04 82.04 82.04
Element x y z (fractional)
Cd 0.3449 0.3449 0.8752
Cd 0.9077 0.9077 0.9077
Cd 0.1040 0.1040 0.1040
Cd 0.2051 0.6234 0.6234
Cd 0.6234 0.2051 0.6234
Cd 0.3005 0.0020 0.6956
Cd 0.5229 0.9790 0.9790
Cd 0.6956 0.0020 0.3005
Cd 0.3005 0.6956 0.0020
Cd 0.9790 0.5229 0.9790
Cd 0.9790 0.9790 0.5229
Cd 0.0020 0.3005 0.6956
Cd 0.0020 0.6956 0.3005
Cd 0.6234 0.6234 0.2051
Cd 0.6956 0.3005 0.0020
Cd 0.3449 0.8752 0.3449
Cd 0.8752 0.3449 0.3449
Pr 0.6663 0.6663 0.6663
Pa 0.3280 0.3280 0.3280

***

Entry 4:
Computed, not measured: a geometry-optimized LaScPa structure at the PBE level of DFT.

## Properties
Calculated formation energy, meV/atom: 631
Space group: No. 107
DFT total energy, eV/cell: -18.86

Lattice parameters (Å, degrees): 3.0458 9.1184 3.0458 80.39 90.00 99.61
Element x y z (fractional)
Sc 0.2185 0.4370 0.7815
La 0.8826 0.7652 0.1174
Pa 0.0489 0.0978 0.9511

***

Entry 5:
Computed, not measured: a geometry-optimized NaRhS structure at the PBE level of DFT.

## Properties
Energy relative to the elements, uncorrected, eV/atom: -0.4666
Space group: No. 11
DFT total energy, eV/cell: -28.40

Lattice parameters (Å, degrees): 4.5985 4.6160 6.2877 123.09 90.00 90.00
Element x y z (fractional)
Na 0.2500 0.3299 0.5814
Na 0.7500 0.6701 0.4186
Rh 0.7500 0.8409 0.0224
Rh 0.2500 0.1591 0.9776
S 0.7500 0.2371 0.8997
S 0.2500 0.7629 0.1003

***

Entry 6:
Computed, not measured: a geometry-optimized K3Hg5Cl12 structure at the PBE level of DFT.

## Properties
Energy relative to the elements, uncorrected, eV/atom: -0.9722
Space group: No. 230
DFT total energy, eV/cell: -185.62

Lattice parameters (Å, degrees): 14.8481 14.8481 14.8481 109.47 109.47 109.47
Element x y z (fractional)
Cl 0.7052 0.1204 0.0274
Cl 0.9152 0.0930 0.6204
Cl 0.1779 0.0930 0.9726
Cl 0.1204 0.4152 0.0930
Cl 0.8796 0.2948 0.4726
Cl 0.6204 0.5930 0.9152
Cl 0.8221 0.9070 0.0274
Cl 0.9726 0.3796 0.2948
Cl 0.5274 0.3221 0.9070
Cl 0.2052 0.6779 0.0848
Cl 0.1779 0.0848 0.7052
Cl 0.4152 0.1204 0.5930
Cl 0.4070 0.3796 0.5848
Cl 0.6779 0.2052 0.5848
Cl 0.0274 0.4070 0.8221
Cl 0.0848 0.9070 0.3796
Cl 0.3221 0.7948 0.4152
Cl 0.9152 0.8221 0.7948
Cl 0.3796 0.4070 0.0848
Cl 0.8796 0.5848 0.9070
Cl 0.0848 0.1779 0.2052
Cl 0.7052 0.5848 0.1779
Cl 0.5848 0.7052 0.6779
Cl 0.2948 0.4152 0.8221
Cl 0.1204 0.7052 0.5274
Cl 0.5848 0.8796 0.4070
Cl 0.7948 0.4726 0.3796
Cl 0.4726 0.7948 0.8796
Cl 0.0930 0.9152 0.1204
Cl 0.3796 0.9726 0.7948
Cl 0.6204 0.0274 0.2052
Cl 0.0274 0.6204 0.7052
Cl 0.4070 0.0274 0.3221
Cl 0.4726 0.6779 0.0930
Cl 0.5930 0.9726 0.6779
Cl 0.7948 0.3221 0.9152
Cl 0.3221 0.5274 0.4070
Cl 0.9726 0.5930 0.1779
Cl 0.2052 0.5274 0.6204
Cl 0.9070 0.0848 0.8796
Cl 0.9070 0.8221 0.5274
Cl 0.0930 0.1779 0.4726
Cl 0.8221 0.9152 0.2948
Cl 0.5274 0.2052 0.1204
Cl 0.4152 0.2948 0.3221
Cl 0.2948 0.8796 0.9726
Cl 0.6779 0.4726 0.5930
Cl 0.5930 0.6204 0.4152
Hg 0.8750 0.6250 0.7500
Hg 0.0000 0.0000 0.5000
Hg 0.1250 0.3750 0.2500
Hg 0.0000 0.5000 0.0000
Hg 0.6250 0.8750 0.2500
Hg 0.5000 0.0000 0.0000
Hg 0.2500 0.3750 0.6250
Hg 0.0000 0.5000 0.5000
Hg 0.6250 0.7500 0.8750
Hg 0.5000 0.5000 0.0000
Hg 0.3750 0.2500 0.1250
Hg 0.7500 0.6250 0.3750
Hg 0.2500 0.8750 0.1250
Hg 0.7500 0.1250 0.8750
Hg 0.5000 0.0000 0.5000
Hg 0.1250 0.7500 0.3750
Hg 0.3750 0.1250 0.7500
Hg 0.5000 0.5000 0.5000
Hg 0.0000 0.0000 0.0000
Hg 0.8750 0.2500 0.6250
K 0.3750 0.7500 0.6250
K 0.2500 0.1250 0.3750
K 0.6250 0.2500 0.3750
K 0.2500 0.6250 0.8750
K 0.1250 0.8750 0.7500
K 0.8750 0.7500 0.1250
K 0.3750 0.6250 0.2500
K 0.8750 0.1250 0.2500
K 0.7500 0.3750 0.1250
K 0.1250 0.2500 0.8750
K 0.6250 0.3750 0.7500
K 0.7500 0.8750 0.6250

***

Entry 7:
Computed, not measured: a geometry-optimized AsSe2 structure at the PBE level of DFT.

## Properties
Energy relative to the elements, uncorrected, eV/atom: -0.0874
Space group: No. 12
DFT total energy, eV/cell: -23.76

Lattice parameters (Å, degrees): 3.8986 5.9588 8.7066 117.62 102.94 90.00
Element x y z (fractional)
Se 0.7813 0.2942 0.5627
Se 0.4581 0.7718 0.9162
Se 0.5419 0.2282 0.0838
Se 0.2187 0.7058 0.4373
As 0.1580 0.2497 0.3160
As 0.8420 0.7503 0.6840

***

Entry 8:
Computed, not measured: a geometry-optimized NaV2Ni2 structure at the PBE level of DFT.

## Properties
Calculated formation energy, meV/atom: 171
Space group: No. 127
DFT total energy, eV/cell: -60.53

Lattice parameters (Å, degrees): 7.4971 7.4971 2.4950 90.00 90.00 90.00
Element x y z (fractional)
Ni 0.6743 0.8257 0.5000
Ni 0.8257 0.3257 0.5000
Ni 0.1743 0.6743 0.5000
Ni 0.3257 0.1743 0.5000
V 0.3832 0.8832 0.0000
V 0.8832 0.6168 0.0000
V 0.6168 0.1168 0.0000
V 0.1168 0.3832 0.0000
Na 0.5000 0.5000 0.0000
Na 0.0000 0.0000 0.0000

***

- What is the formula in the third record?
  PrPaCd17